1.
Entry from the Alexandria database: an optimized crystal structure of BaAc12Sn6 (PBE).

Computed properties:
The value obtained for the raw total energy is -4.322 eV/atom. The volume comes out at 44.27 Å³/atom. As for the crystal system: trigonal.

Cell: 9.759 9.759 9.759 Å, 103.23 103.23 103.23°
Sites, in units of the cell vectors:
Ac: 0.500 0.125 0.875
Ac: 0.500 0.875 0.125
Ac: 0.875 0.500 0.125
Ac: 0.550 0.550 0.823
Ac: 0.450 0.177 0.450
Ac: 0.875 0.125 0.500
Ac: 0.450 0.450 0.177
Ac: 0.177 0.450 0.450
Ac: 0.823 0.550 0.550
Ac: 0.125 0.875 0.500
Ac: 0.125 0.500 0.875
Ac: 0.550 0.823 0.550
Sn: 0.694 0.244 0.244
Sn: 0.306 0.756 0.756
Sn: 0.244 0.244 0.694
Sn: 0.756 0.756 0.306
Sn: 0.756 0.306 0.756
Sn: 0.244 0.694 0.244
Ba: 0.000 0.000 0.000

***

2.
Entry from the Alexandria database: an optimized crystal structure of BaAcSn2 (PBE).

Computed properties:
The value obtained for the raw total energy is -4.105 eV/atom. The volume comes out at 39.44 Å³/atom. As for the crystal system: orthorhombic.

Cell: 7.955 7.916 10.019 Å, 90.00 90.00 90.00°
Sites, in units of the cell vectors:
Ac: 0.750 0.322 0.667
Ac: 0.250 0.678 0.333
Ac: 0.250 0.178 0.167
Ac: 0.750 0.822 0.833
Sn: 0.561 0.193 0.952
Sn: 0.439 0.307 0.452
Sn: 0.939 0.193 0.952
Sn: 0.939 0.693 0.548
Sn: 0.061 0.807 0.048
Sn: 0.061 0.307 0.452
Sn: 0.561 0.693 0.548
Sn: 0.439 0.807 0.048
Ba: 0.250 0.504 0.806
Ba: 0.750 0.996 0.306
Ba: 0.250 0.004 0.694
Ba: 0.750 0.496 0.194

***

3.
Entry from the Alexandria database: an optimized crystal structure of BaAc2Sn3 (PBE).

Computed properties:
The value obtained for the raw total energy is -4.146 eV/atom. The volume comes out at 39.99 Å³/atom. As for the crystal system: orthorhombic.

Cell: 7.169 10.657 8.983 Å, 126.38 113.52 90.00°
Sites, in units of the cell vectors:
Ac: 0.166 0.916 0.832
Ac: 0.166 0.416 0.832
Ac: 0.834 0.584 0.168
Ac: 0.834 0.084 0.168
Ba: 0.500 0.750 0.500
Ba: 0.500 0.250 0.500
Sn: 0.500 0.750 0.000
Sn: 0.000 0.750 0.000
Sn: 0.000 0.250 0.000
Sn: 0.000 0.000 0.500
Sn: 0.500 0.250 0.000
Sn: 0.000 0.500 0.500

***

- What is the raw total energy in the first record?
  -4.322 eV/atom

***

- What is the raw total energy in the third record?
  -4.146 eV/atom

***

- Among the records above, which one has the highest raw total energy?
  BaAcSn2

***

- Which value of raw total energy does entry 2 give?
  -4.105 eV/atom